1.
DFT (PBE-GGA) results for a relaxed structure of Ho12TlRh6. Values from VASP.

## Properties
* uncorrected energy: -5.941 eV per atom
* space group: Im-3 (204)
* energy relative to the elements: -0.603 eV per atom

Cell and atoms, written as Quantum ESPRESSO input:
```
&SYSTEM
  ibrav = 0, nat = 19, ntyp = 3
/
ATOMIC_SPECIES
Ho 164.93 Ho.upf
Tl 204.38 Tl.upf
Rh 102.91 Rh.upf
ATOMIC_POSITIONS angstrom
Ho 1.967 0.766 5.739
Ho 0.442 3.406 -0.625
Ho 3.574 3.550 3.465
Ho 2.050 6.190 -2.899
Ho -2.370 5.636 -0.059
Ho 3.171 1.320 0.625
Ho 0.845 5.636 2.214
Ho 6.386 1.320 2.899
Ho 5.304 2.086 -2.214
Ho 0.320 2.086 2.781
Ho 3.696 4.870 0.059
Ho -1.288 4.870 5.054
Tl 0.000 0.000 0.000
Rh 0.965 3.478 4.942
Rh 3.051 3.478 -2.102
Rh 0.522 6.053 -0.738
Rh 3.495 0.903 3.577
Rh 5.503 2.575 0.738
Rh -1.487 4.381 2.102
CELL_PARAMETERS angstrom
8.032 0.000 -2.840
-4.016 6.956 -2.840
0.000 0.000 8.520
```

***

2.
DFT (PBE-GGA) results for a relaxed structure of Ho2TlRh3. Values from VASP.

## Properties
* uncorrected energy: -6.272 eV per atom
* space group: P-3m1 (164)
* energy relative to the elements: -0.676 eV per atom

Cell and atoms, written as Quantum ESPRESSO input:
```
&SYSTEM
  ibrav = 0, nat = 12, ntyp = 3
/
ATOMIC_SPECIES
Ho 164.93 Ho.upf
Tl 204.38 Tl.upf
Rh 102.91 Rh.upf
ATOMIC_POSITIONS angstrom
Ho 0.000 0.000 5.829
Ho 0.000 2.744 2.066
Ho 2.377 1.372 9.591
Ho 0.000 0.000 0.000
Tl 0.000 2.744 7.766
Tl 2.377 1.372 3.891
Rh 0.000 2.744 4.908
Rh 2.377 1.372 0.949
Rh 0.000 0.000 8.771
Rh 0.000 0.000 2.886
Rh 0.000 2.744 10.709
Rh 2.377 1.372 6.749
CELL_PARAMETERS angstrom
4.753 0.000 0.000
-2.376 4.116 0.000
0.000 0.000 11.657
```